This record from Alexandria via LeMat-Bulk describes an optimized crystal structure of CaP2Se. The functional is GGA-PBE.

Output
Formation energy without anion corrections = -0.229 eV/atom
SG = No. 123

The structure in CIF format:
```
data_CaP2Se
_chemical_formula_sum 'Ca1 P2 Se1'
_symmetry_space_group_name_H-M 'P 1'
_symmetry_Int_Tables_number 1
_symmetry_space_group_name_Hall 'P 1'
_cell_length_a 3.812
_cell_length_b 3.812
_cell_length_c 5.773
_cell_angle_alpha 90.00
_cell_angle_beta 90.00
_cell_angle_gamma 90.00
loop_
_atom_site_label
_atom_site_type_symbol
_atom_site_fract_x
_atom_site_fract_y
_atom_site_fract_z
Ca1 Ca 0.000 0.000 0.000
P1 P 0.000 0.500 0.500
P2 P 0.500 0.000 0.500
Se1 Se 0.500 0.500 0.000
```

This record from Alexandria via LeMat-Bulk describes an optimized crystal structure of TmTiMo4. The functional is GGA-PBE.

Output
Formation energy from the elements = 45.9 meV per atom
SG = No. 216

The structure in CIF format:
```
data_TmTiMo4
_chemical_formula_sum 'Tm1 Ti1 Mo4'
_symmetry_space_group_name_H-M 'P 1'
_symmetry_Int_Tables_number 1
_symmetry_space_group_name_Hall 'P 1'
_cell_length_a 5.366
_cell_length_b 5.366
_cell_length_c 5.366
_cell_angle_alpha 60.00
_cell_angle_beta 60.00
_cell_angle_gamma 60.00
loop_
_atom_site_label
_atom_site_type_symbol
_atom_site_fract_x
_atom_site_fract_y
_atom_site_fract_z
Tm1 Tm 0.000 0.000 0.000
Ti1 Ti 0.750 0.750 0.750
Mo1 Mo 0.375 0.375 0.375
Mo2 Mo 0.375 0.375 0.875
Mo3 Mo 0.375 0.875 0.375
Mo4 Mo 0.875 0.375 0.375
```

This record from Alexandria via LeMat-Bulk describes an optimized crystal structure of Ac6La2Pm3Nd. The functional is GGA-PBE.

Output
Formation energy from the elements = 26.4 meV per atom
SG = No. 12

The structure in CIF format:
```
data_Ac6La2Pm3Nd
_chemical_formula_sum 'Ac6 La2 Pm3 Nd1'
_symmetry_space_group_name_H-M 'P 1'
_symmetry_Int_Tables_number 1
_symmetry_space_group_name_Hall 'P 1'
_cell_length_a 6.703
_cell_length_b 6.703
_cell_length_c 12.534
_cell_angle_alpha 95.12
_cell_angle_beta 95.12
_cell_angle_gamma 120.06
loop_
_atom_site_label
_atom_site_type_symbol
_atom_site_fract_x
_atom_site_fract_y
_atom_site_fract_z
Ac1 Ac 0.084 0.418 0.753
Ac2 Ac 0.249 0.249 0.247
Ac3 Ac 0.418 0.084 0.753
Ac4 Ac 0.582 0.916 0.247
Ac5 Ac 0.751 0.751 0.753
Ac6 Ac 0.916 0.582 0.247
La1 La 0.334 0.666 0.500
La2 La 0.666 0.334 0.500
Pm1 Pm 0.167 0.833 0.000
Pm2 Pm 0.500 0.500 0.000
Pm3 Pm 0.833 0.167 0.000
Nd1 Nd 0.000 0.000 0.500
```

This record from Alexandria via LeMat-Bulk describes an optimized crystal structure of Tb2SmScSb4. The functional is GGA-PBE.

Output
Formation energy without anion corrections = -1.083 eV/atom
SG = No. 10

The structure in CIF format:
```
data_Tb2SmScSb4
_chemical_formula_sum 'Tb2 Sm1 Sc1 Sb4'
_symmetry_space_group_name_H-M 'P 1'
_symmetry_Int_Tables_number 1
_symmetry_space_group_name_Hall 'P 1'
_cell_length_a 7.558
_cell_length_b 4.370
_cell_length_c 7.564
_cell_angle_alpha 90.00
_cell_angle_beta 109.49
_cell_angle_gamma 90.00
loop_
_atom_site_label
_atom_site_type_symbol
_atom_site_fract_x
_atom_site_fract_y
_atom_site_fract_z
Tb1 Tb 0.000 0.000 0.000
Tb2 Tb 0.500 0.500 0.000
Sm1 Sm 0.000 0.500 0.500
Sc1 Sc 0.500 0.000 0.500
Sb1 Sb 0.258 0.000 0.748
Sb2 Sb 0.262 0.500 0.259
Sb3 Sb 0.738 0.500 0.741
Sb4 Sb 0.742 0.000 0.252
```

This record from Alexandria via LeMat-Bulk describes an optimized crystal structure of Y11Hg9Au4. The functional is GGA-PBE.

Output
Formation energy from the elements = -616.7 meV per atom
SG = No. 65

The structure in CIF format:
```
data_Y11Hg9Au4
_chemical_formula_sum 'Y11 Hg9 Au4'
_symmetry_space_group_name_H-M 'P 1'
_symmetry_Int_Tables_number 1
_symmetry_space_group_name_Hall 'P 1'
_cell_length_a 13.212
_cell_length_b 13.212
_cell_length_c 3.717
_cell_angle_alpha 90.00
_cell_angle_beta 90.00
_cell_angle_gamma 112.46
loop_
_atom_site_label
_atom_site_type_symbol
_atom_site_fract_x
_atom_site_fract_y
_atom_site_fract_z
Y1 Y 0.000 0.000 0.000
Y2 Y 0.072 0.414 0.000
Y3 Y 0.168 0.832 0.000
Y4 Y 0.287 0.287 0.000
Y5 Y 0.362 0.638 0.000
Y6 Y 0.414 0.072 0.000
Y7 Y 0.586 0.928 0.000
Y8 Y 0.638 0.362 0.000
Y9 Y 0.713 0.713 0.000
Y10 Y 0.832 0.168 0.000
Y11 Y 0.928 0.586 0.000
Hg1 Hg 0.057 0.209 0.500
Hg2 Hg 0.150 0.632 0.500
Hg3 Hg 0.209 0.057 0.500
Hg4 Hg 0.368 0.850 0.500
Hg5 Hg 0.500 0.500 0.500
Hg6 Hg 0.632 0.150 0.500
Hg7 Hg 0.791 0.943 0.500
Hg8 Hg 0.850 0.368 0.500
Hg9 Hg 0.943 0.791 0.500
Au1 Au 0.253 0.449 0.500
Au2 Au 0.449 0.253 0.500
Au3 Au 0.551 0.747 0.500
Au4 Au 0.747 0.551 0.500
```

This record from Alexandria via LeMat-Bulk describes an optimized crystal structure of LiCdTeMoBr. The functional is GGA-PBE.

Output
Formation energy without anion corrections = -0.384 eV/atom
Distance to the lowest polymorph of the same formula = 0 meV/atom
SG = No. 107

The structure in CIF format:
```
data_LiCdTeMoBr
_chemical_formula_sum 'Li1 Cd1 Te1 Mo1 Br1'
_symmetry_space_group_name_H-M 'P 1'
_symmetry_Int_Tables_number 1
_symmetry_space_group_name_Hall 'P 1'
_cell_length_a 10.283
_cell_length_b 10.283
_cell_length_c 10.283
_cell_angle_alpha 161.17
_cell_angle_beta 161.17
_cell_angle_gamma 26.76
loop_
_atom_site_label
_atom_site_type_symbol
_atom_site_fract_x
_atom_site_fract_y
_atom_site_fract_z
Li1 Li 0.000 0.000 0.000
Cd1 Cd 0.690 0.690 0.000
Te1 Te 0.854 0.854 0.000
Mo1 Mo 0.280 0.280 0.000
Br1 Br 0.541 0.541 0.000
```

What did the second record say?
This record from Alexandria via LeMat-Bulk describes an optimized crystal structure of TmTiMo4. The functional is GGA-PBE.

Output
Formation energy from the elements = 45.9 meV per atom
SG = No. 216

The structure in CIF format:
```
data_TmTiMo4
_chemical_formula_sum 'Tm1 Ti1 Mo4'
_symmetry_space_group_name_H-M 'P 1'
_symmetry_Int_Tables_number 1
_symmetry_space_group_name_Hall 'P 1'
_cell_length_a 5.366
_cell_length_b 5.366
_cell_length_c 5.366
_cell_angle_alpha 60.00
_cell_angle_beta 60.00
_cell_angle_gamma 60.00
loop_
_atom_site_label
_atom_site_type_symbol
_atom_site_fract_x
_atom_site_fract_y
_atom_site_fract_z
Tm1 Tm 0.000 0.000 0.000
Ti1 Ti 0.750 0.750 0.750
Mo1 Mo 0.375 0.375 0.375
Mo2 Mo 0.375 0.375 0.875
Mo3 Mo 0.375 0.875 0.375
Mo4 Mo 0.875 0.375 0.375
```